1.
Below is PrTmCoIr after structural relaxation, with properties calculated at the PBE-GGA level.

The structure in CIF format:
```
data_PrTmCoIr
_space_group_name_H-M_alt 'F -4 3 m'
_space_group_IT_number 216
_space_group_name_Hall 'F -4 2 3'
_cell_length_a 6.897
_cell_length_b 6.897
_cell_length_c 6.897
_cell_angle_alpha 90.00
_cell_angle_beta 90.00
_cell_angle_gamma 90.00
loop_
_atom_site_label
_atom_site_type_symbol
_atom_site_fract_x
_atom_site_fract_y
_atom_site_fract_z
_atom_site_occupancy
Pr1 Pr 0.000 0.000 0.000 1
Tm1 Tm 0.000 0.000 0.500 1
Co1 Co 0.250 0.250 0.750 1
Ir1 Ir 0.250 0.250 0.250 1
```

## Properties
Magnetization = 2.242 μB/cell
E_form = -0.38 eV per atom

=====

2.
Below is BaSr12Ca6 after structural relaxation, with properties calculated at the PBE-GGA level.

The structure in CIF format:
```
data_BaSr12Ca6
_space_group_name_H-M_alt 'R -3'
_space_group_IT_number 148
_space_group_name_Hall '-R 3'
_cell_length_a 18.1102
_cell_length_b 18.1102
_cell_length_c 10.2100
_cell_angle_alpha 90.00
_cell_angle_beta 90.00
_cell_angle_gamma 120.00
loop_
_atom_site_label
_atom_site_type_symbol
_atom_site_fract_x
_atom_site_fract_y
_atom_site_fract_z
_atom_site_occupancy
Ba1 Ba 0.0000 0.0000 0.0000 1
Sr1 Sr 0.0155 0.1426 0.6619 1
Sr2 Sr 0.0654 0.5608 0.6706 1
Ca1 Ca 0.0356 0.2822 0.3276 1
```

## Properties
Magnetization = 0.001 μB/cell
E_form = 0.02 eV per atom